#1
# DyGa3Pd3

DyGa3Pd3 after structural relaxation (PBE-GGA, Alexandria via LeMat-Bulk).

DOS at the Fermi energy = 0.31 states/eV per atom
crystal system = trigonal

Cell and atoms, written as extended XYZ:
```
14
Lattice="6.8923 0.0000 0.0000 3.4462 5.9689 0.0000 3.4462 1.9896 6.0844" Properties=species:S:1:pos:R:3 pbc="T T T"
Dy 6.8923 3.9793 5.9828
Dy 6.8923 3.9793 0.1016
Ga 8.3968 5.6284 3.8325
Ga 7.5682 1.8518 3.8325
Ga 4.7119 4.4577 3.8325
Ga 9.0727 3.5009 2.2518
Ga 6.2165 6.1068 2.2518
Ga 5.3878 2.3302 2.2518
Pd 4.3203 4.5468 1.2537
Pd 7.6869 1.4681 1.2537
Pd 8.6699 5.9230 1.2537
Pd 5.1148 2.0356 4.8307
Pd 6.0978 6.4905 4.8307
Pd 9.4644 3.4118 4.8307
```


#2
# DyGa3Pd3

DyGa3Pd3 after structural relaxation (PBE-GGA, Alexandria via LeMat-Bulk).

DOS at the Fermi energy = 0.65 states/eV per atom
crystal system = cubic

Cell and atoms, written as extended XYZ:
```
14
Lattice="-4.2463 5.2709 0.3564 -5.2237 -4.1208 -1.2933 -0.7890 -1.0849 6.6438" Properties=species:S:1:pos:R:3 pbc="T T T"
Ga -1.7004 -1.5726 2.9986
Ga -4.3123 -3.6330 2.3520
Ga -2.7149 1.8218 5.1611
Ga -5.7965 1.8928 -0.3793
Ga -2.3204 2.3642 1.8392
Ga -3.6734 -0.7427 -0.5575
Pd -1.4561 0.7753 3.4110
Pd -2.8091 -2.3316 1.0143
Pd -6.0409 -0.4551 -0.7918
Pd -3.5792 3.4107 3.5892
Pd -3.2036 -2.8741 4.3362
Pd -3.4291 1.6053 -0.1451
Dy -5.1295 0.0326 2.8535
Dy 0.0000 0.0000 0.0000
```


Stability order, top to bottom: #1, #2